(1)
RbS2O: relaxed, PBE.

The total energy is -3.66 eV per atom. The total magnetization is 1.00 μB/f.u.

Cell: 6.445 6.445 6.445 Å, 51.23 51.23 51.23°
Fractional positions:
Rb  0.000  0.000  0.000
S  0.403  0.403  0.403
S  0.597  0.597  0.597
O  0.500  0.500  0.500

=====

(2)
SrZrCr3: relaxed, PBE.

The total energy is -6.60 eV per atom. As for the distance to the lowest polymorph of the same formula: 0.0 kJ per mole of atoms. The total magnetization is 10.18 μB/f.u. Its formation energy is 6.09 eV/f.u.

Cell: 5.041 5.041 5.041 Å, 90.00 90.00 90.00°
Fractional positions:
Sr  0.000  0.000  0.000
Zr  0.500  0.500  0.500
Cr  0.000  0.500  0.500
Cr  0.500  0.000  0.500
Cr  0.500  0.500  0.000

=====

(3)
SrAlPt2: relaxed, PBE.

The total energy is -5.03 eV per atom. The total magnetization is 0.00 μB/f.u. Its formation energy is -2.60 eV/f.u.

Cell: 8.955 8.955 8.955 Å, 146.74 146.74 47.76°
Fractional positions:
Sr  0.000  0.000  0.000
Sr  0.750  0.250  0.500
Al  0.250  0.750  0.500
Al  0.500  0.500  0.000
Pt  0.333  0.625  0.208
Pt  0.375  0.583  0.708
Pt  0.417  0.125  0.792
Pt  0.875  0.667  0.292

=====

(4)
LiP2IO: relaxed, PBE.

The total energy is -3.14 eV per atom. As for the distance to the lowest polymorph of the same formula: 11.3 kJ per mole of atoms. The total magnetization is 0.00 μB/f.u.

Cell: 5.303 5.303 3.932 Å, 90.00 90.00 90.00°
Fractional positions:
Li  0.000  0.000  0.000
P  0.000  0.500  0.500
P  0.500  0.000  0.500
I  0.500  0.500  0.500
O  0.500  0.500  0.000